1.
# PBE AcPr7Ho12, optimized geometry
data_AcPr7Ho12
_chemical_formula_sum 'Ac2 Pr14 Ho24'
_cell_length_a 11.3897
_cell_length_b 11.3897
_cell_length_c 11.3897
_cell_angle_alpha 90.00
_cell_angle_beta 90.00
_cell_angle_gamma 90.00
_symmetry_space_group_name_H-M 'I m -3 m'
_symmetry_Int_Tables_number 229
_symmetry_space_group_name_Hall '-I 4 2 3'
loop_
_atom_site_label
_atom_site_type_symbol
_atom_site_fract_x
_atom_site_fract_y
_atom_site_fract_z
Ac1 Ac 0.0000 0.0000 0.0000
Pr1 Pr 0.0000 0.0000 0.5000
Pr2 Pr 0.2500 0.2500 0.2500
Ho1 Ho 0.0000 0.2539 0.2539
# formation energy: 0.6028 eV/atom
# DOS at the Fermi energy: 58.83 states/eV per cell

***

2.
# PBE Ac2Pr5Ho3, optimized geometry
data_Ac2Pr5Ho3
_chemical_formula_sum 'Ac8 Pr20 Ho12'
_cell_length_a 11.0297
_cell_length_b 14.6169
_cell_length_c 10.3351
_cell_angle_alpha 90.00
_cell_angle_beta 114.50
_cell_angle_gamma 90.00
_symmetry_space_group_name_H-M 'C 1 2/c 1'
_symmetry_Int_Tables_number 15
loop_
_symmetry_equiv_pos_as_xyz
'x,y,z'
'-x,-y,-z'
'-x,y,-z+1/2'
'x,-y,z+1/2'
'x+1/2,y+1/2,z'
'-x+1/2,-y+1/2,-z'
'-x+1/2,y+1/2,-z+1/2'
'x+1/2,-y+1/2,z+1/2'
loop_
_atom_site_label
_atom_site_type_symbol
_atom_site_fract_x
_atom_site_fract_y
_atom_site_fract_z
Ac1 Ac 0.1920 0.1234 0.0423
Pr1 Pr 0.0000 0.0287 0.2500
Pr2 Pr 0.0000 0.2473 0.2500
Pr3 Pr 0.0000 0.4929 0.2500
Pr4 Pr 0.1878 0.1286 0.6465
Ho1 Ho 0.0000 0.2704 0.7500
Ho2 Ho 0.1638 0.3760 0.5777
# formation energy: 0.2027 eV/atom
# DOS at the Fermi energy: 68.92 states/eV per cell